The following is a GGA+U calculation of a geometry-optimized Mn3SnO8 structure, from the Alexandria database.

Lattice parameters (Å, degrees): 5.835 5.835 9.426 90.00 90.00 120.00
Site moments in Bohr magnetons follow the coordinates.
Fractional positions:
O 0.965 0.483 0.830  -0.14
O 0.159 0.318 0.604  -0.03
Mn 0.665 0.832 0.213  3.23
O 0.841 0.159 0.104  -0.03
Mn 0.168 0.335 0.213  3.23
O 0.841 0.682 0.104  -0.03
O 0.667 0.333 0.609  -0.14
O 0.159 0.841 0.604  -0.03
O 0.483 0.517 0.330  -0.14
O 0.318 0.159 0.104  -0.03
O 0.483 0.965 0.330  -0.14
O 0.682 0.841 0.604  -0.03
O 0.035 0.517 0.330  -0.14
O 0.517 0.035 0.830  -0.14
Mn 0.335 0.168 0.713  3.23
Mn 0.832 0.168 0.713  3.23
O 0.000 0.000 0.313  -0.13
O 0.333 0.667 0.109  -0.14
Sn 0.667 0.333 0.993  0.04
Mn 0.168 0.832 0.213  3.23
O 0.517 0.483 0.830  -0.14
Mn 0.832 0.665 0.713  3.23
Sn 0.333 0.667 0.493  0.04
O 0.000 0.000 0.813  -0.13

E: -6.869 eV per atom